a) {"formula": "AlSbSe2", "functional": "PBEsol", "state": "relaxed", "cell": [[-1.535, -1.916, 2.742], [3.892, 1.159, 2.988], [-3.600, 3.503, 0.434]], "species": ["Se", "Se", "Al", "Sb"], "frac_coords": [[0.000, 0.725, 0.275], [0.000, 0.275, 0.725], [0.500, 0.500, 0.500], [0.500, 0.000, 0.000]], "space_group": "Cmmm, No. 65"}

=====

b) {"formula": "AlSbSe2", "functional": "PBEsol", "state": "relaxed", "cell": [[-0.976, 3.182, 1.924], [1.891, -2.579, 1.383], [7.098, 3.782, -2.655]], "species": ["Se", "Se", "Sb", "Al"], "frac_coords": [[0.500, 0.000, 0.311], [0.000, 0.000, 0.967], [0.500, 0.000, 0.745], [0.000, 0.000, 0.478]], "space_group": "Cmm2, No. 35"}

=====

Most stable pick: a). Distance to second place: 144 meV per atom.

=====

a) {"formula": "Li2SbPb", "functional": "PBEsol", "state": "relaxed", "cell": [[-3.174, -2.882, -0.198], [2.141, -2.150, -3.035], [2.680, -0.099, 4.995]], "species": ["Li", "Li", "Pb", "Sb"], "frac_coords": [[0.750, 0.250, 0.500], [0.000, 0.000, 0.000], [0.500, 0.500, 0.000], [0.250, 0.750, 0.500]], "space_group": "I-4m2, No. 119"}

=====

b) {"formula": "Li2SbPb", "functional": "PBEsol", "state": "relaxed", "cell": [[-0.992, 3.092, -0.042], [-0.641, -1.850, 4.479], [5.712, 1.837, 0.422]], "species": ["Li", "Li", "Sb", "Pb"], "frac_coords": [[0.754, 0.508, 0.771], [0.246, 0.492, 0.229], [0.500, 0.000, 0.000], [0.000, 0.000, 0.500]], "space_group": "C2/m, No. 12"}

=====

Most stable pick: a). Distance to second place: 20 meV per atom.

=====

a) {"formula": "La2ScTc", "functional": "PBEsol", "state": "relaxed", "cell": [[3.558, 0.000, 0.000], [0.000, 5.368, -0.001], [-1.779, -2.655, 5.308]], "species": ["Tc", "La", "La", "Sc"], "frac_coords": [[0.242, 0.733, 0.483], [0.953, 0.956, 0.906], [0.750, 0.253, 0.500], [0.555, 0.558, 0.110]], "space_group": "Cm, No. 8"}

=====

b) {"formula": "La2ScTc", "functional": "PBEsol", "state": "relaxed", "cell": [[3.413, 0.000, 0.000], [0.000, 3.413, 0.000], [0.000, 0.000, 8.232]], "species": ["La", "La", "Sc", "Tc"], "frac_coords": [[0.500, 0.500, 0.248], [0.000, 0.000, 0.949], [0.000, 0.000, 0.563], [0.500, 0.500, 0.739]], "space_group": "P4mm, No. 99"}

=====

Most stable pick: b). Distance to second place: 52 meV per atom.